Record 1
Li2MgSi: relaxed, PBE.

a b c (Å): 5.301 5.384 2.849
angles (deg): 76.83 81.19 116.53
Fractional positions:
Li: 0.000 0.000 0.000
Li: 0.000 0.500 0.500
Mg: 0.500 0.500 0.000
Si: 0.500 0.000 0.500

Calculated values
Space-group type ... C2/m, No. 12
Formation energy without anion corrections ... -36 meV/atom
Magnetic moment ... 0.00 μB per cell


Record 2
SiRhIO2: relaxed, PBE.

a b c (Å): 3.841 3.841 7.439
angles (deg): 90.00 90.00 90.00
Site moments in Bohr magnetons follow the coordinates.
Fractional positions:
I: 0.000 0.000 0.500  0.00
Si: 0.500 0.500 0.500  0.04
Rh: 0.000 0.000 0.000  0.33
O: 0.000 0.500 0.000  0.12
O: 0.500 0.000 0.000  0.12

Calculated values
Space-group type ... P4/mmm, No. 123
Formation energy without anion corrections ... 250 meV/atom
Magnetic moment ... 0.74 μB per cell


Record 3
Pr2HoRh: relaxed, PBE.

a b c (Å): 3.647 3.647 8.666
angles (deg): 90.00 90.00 90.00
Site moments in Bohr magnetons follow the coordinates.
Fractional positions:
Pr: 0.000 0.000 0.806  0.06
Pr: 0.000 0.000 0.194  0.06
Rh: 0.500 0.500 0.000  0.06
Ho: 0.500 0.500 0.500  0.32

Calculated values
ΔH_f (0 K) ... -0.230 eV per atom
Space-group type ... P4/mmm, No. 123
Magnetic moment ... 0.79 μB per cell


Record 4
Re5Se3: relaxed, PBE.

a b c (Å): 7.139 7.139 5.837
angles (deg): 90.00 90.00 120.00
Fractional positions:
Re: 0.333 0.667 0.000
Re: 0.667 0.333 0.500
Re: 0.667 0.333 0.000
Re: 0.333 0.667 0.500
Re: 0.204 0.000 0.250
Re: 0.796 0.000 0.750
Re: 0.000 0.204 0.250
Re: 0.796 0.796 0.250
Re: 0.204 0.204 0.750
Re: 0.000 0.796 0.750
Se: 0.580 0.000 0.250
Se: 0.420 0.000 0.750
Se: 0.000 0.580 0.250
Se: 0.420 0.420 0.250
Se: 0.580 0.580 0.750
Se: 0.000 0.420 0.750

Calculated values
Space-group type ... P6_3/mcm, No. 193
Formation energy without anion corrections ... 1049 meV/atom
Magnetic moment ... 0.00 μB per cell


Record 5
PuHf4In5: relaxed, PBE.

a b c (Å): 3.126 3.126 22.841
angles (deg): 90.00 90.00 90.00
Site moments in Bohr magnetons follow the coordinates.
Fractional positions:
Pu: 0.000 0.000 0.000  -5.59
Hf: 0.000 0.000 0.209  0.06
Hf: 0.000 0.000 0.403  0.00
Hf: 0.000 0.000 0.597  0.00
Hf: 0.000 0.000 0.791  0.06
In: 0.500 0.500 0.111  0.05
In: 0.500 0.500 0.306  0.00
In: 0.500 0.500 0.500  0.01
In: 0.500 0.500 0.694  0.00
In: 0.500 0.500 0.889  0.05

Calculated values
ΔH_f (0 K) ... -0.159 eV per atom
Space-group type ... P4/mmm, No. 123
Magnetic moment ... 5.56 μB per cell


Record 6
Mg2PPb: relaxed, PBE.

a b c (Å): 4.666 4.666 4.004
angles (deg): 90.00 90.00 90.00
Fractional positions:
Mg: 0.000 0.000 0.000
Mg: 0.500 0.500 0.000
P: 0.500 0.000 0.500
Pb: 0.000 0.500 0.500

Calculated values
ΔH_f (0 K) ... 0.003 eV per atom
Space-group type ... P4/mmm, No. 123
Magnetic moment ... 0.00 μB per cell


Record 7
Rb2LiZrI: relaxed, PBE.

a b c (Å): 7.477 5.597 7.477
angles (deg): 90.00 90.00 90.00
Site moments in Bohr magnetons follow the coordinates.
Fractional positions:
I: 0.000 0.500 0.000  -0.03
Rb: 0.000 0.000 0.500  0.04
Rb: 0.500 0.000 0.000  0.04
Zr: 0.000 0.000 0.000  1.69
Li: 0.500 0.500 0.500  0.02

Calculated values
Space-group type ... P4/mmm, No. 123
Formation energy without anion corrections ... 500 meV/atom
Magnetic moment ... 3.67 μB per cell


Record 8
Pr2ErCu9: relaxed, PBE.

a b c (Å): 5.186 5.186 9.049
angles (deg): 73.35 73.35 60.00
Fractional positions:
Pr: 0.861 0.861 0.418
Pr: 0.139 0.139 0.582
Er: 0.000 0.000 0.000
Cu: 0.668 0.668 0.996
Cu: 0.332 0.332 0.004
Cu: 0.500 0.500 0.500
Cu: 0.423 0.423 0.237
Cu: 0.918 0.423 0.237
Cu: 0.423 0.918 0.237
Cu: 0.577 0.577 0.763
Cu: 0.577 0.082 0.763
Cu: 0.082 0.577 0.763

Calculated values
ΔH_f (0 K) ... -0.138 eV per atom
Space-group type ... R-3m, No. 166
Magnetic moment ... 0.00 μB per cell